## LiLuTe (PBE)

Data for a relaxed structure of LiLuTe.

Cell lengths 4.8104, 4.8104, 4.8104 Å; angles 60.00, 60.00, 60.00 degrees
Fractional positions:
Li  0.2500  0.2500  0.2500
Lu  0.7500  0.7500  0.7500
Te  0.0000  0.0000  0.0000

**V**: 79 Å³/f.u.
**Excess energy over the best structure of this formula in the dataset**: 0.000 eV per atom
**Total magnetization**: 0.00 μB/f.u.
**VASP energy**: -10.9 eV per cell

=====

## LiLuTh (PBE)

Data for a relaxed structure of LiLuTh.

Cell lengths 4.9422, 4.9422, 4.9422 Å; angles 60.00, 60.00, 60.00 degrees
Fractional positions:
Li  0.0000  0.0000  0.0000
Lu  0.2500  0.2500  0.2500
Th  0.7500  0.7500  0.7500

**V**: 85 Å³/f.u.
**Excess energy over the best structure of this formula in the dataset**: 0.000 eV per atom
**Total magnetization**: 0.02 μB/f.u.
**VASP energy**: -12.0 eV per cell

=====

## Li2LuTl (PBE)

Data for a relaxed structure of Li2LuTl.

Cell lengths 4.9157, 4.9157, 4.9157 Å; angles 60.00, 60.00, 60.00 degrees
Fractional positions:
Li  0.0000  0.0000  0.0000
Li  0.7500  0.7500  0.7500
Lu  0.2500  0.2500  0.2500
Tl  0.5000  0.5000  0.5000

**V**: 84 Å³/f.u.
**Total magnetization**: 0.00 μB/f.u.
**VASP energy**: -11.4 eV per cell

=====

## LiLuTl (PBE)

Data for a relaxed structure of LiLuTl.

Cell lengths 4.6438, 4.6438, 4.6438 Å; angles 60.00, 60.00, 60.00 degrees
Fractional positions:
Li  0.0000  0.0000  0.0000
Lu  0.2500  0.2500  0.2500
Tl  0.7500  0.7500  0.7500

**V**: 71 Å³/f.u.
**Excess energy over the best structure of this formula in the dataset**: 0.000 eV per atom
**Total magnetization**: 0.00 μB/f.u.
**VASP energy**: -8.7 eV per cell

=====

## LiLuTl (PBE)

Data for a relaxed structure of LiLuTl.

Cell lengths 4.9343, 4.9343, 4.9343 Å; angles 60.00, 60.00, 60.00 degrees
Fractional positions:
Li  0.2500  0.2500  0.2500
Lu  0.0000  0.0000  0.0000
Tl  0.7500  0.7500  0.7500

**V**: 85 Å³/f.u.
**Excess energy over the best structure of this formula in the dataset**: 0.289 eV per atom
**Total magnetization**: 0.57 μB/f.u.
**VASP energy**: -7.8 eV per cell

=====

## LiLu2Tl (PBE)

Data for a relaxed structure of LiLu2Tl.

Cell lengths 5.2253, 5.2253, 5.2253 Å; angles 60.00, 60.00, 60.00 degrees
Fractional positions:
Li  0.2500  0.2500  0.2500
Lu  0.0000  0.0000  0.0000
Lu  0.7500  0.7500  0.7500
Tl  0.5000  0.5000  0.5000

**V**: 101 Å³/f.u.
**Total magnetization**: 0.00 μB/f.u.
**VASP energy**: -13.2 eV per cell

=====

## LiTmLu (PBE)

Data for a relaxed structure of LiTmLu.

Cell lengths 4.9589, 4.9589, 4.9589 Å; angles 60.00, 60.00, 60.00 degrees
Fractional positions:
Li  0.0000  0.0000  0.0000
Lu  0.2500  0.2500  0.2500
Tm  0.7500  0.7500  0.7500

**V**: 86 Å³/f.u.
**Excess energy over the best structure of this formula in the dataset**: 0.000 eV per atom
**Total magnetization**: 0.00 μB/f.u.
**VASP energy**: -9.3 eV per cell

=====

## Li2LuW (PBE)

Data for a relaxed structure of Li2LuW.

Cell lengths 4.4308, 4.4308, 4.4308 Å; angles 60.00, 60.00, 60.00 degrees
Last column: magnetic moment on the atom in μB.
Fractional positions:
Li  0.0000  0.0000  0.0000  0.00
Li  0.2500  0.2500  0.2500  -0.02
Lu  0.5000  0.5000  0.5000  0.38
W  0.7500  0.7500  0.7500  1.49

**V**: 62 Å³/f.u.
**Total magnetization**: 2.05 μB/f.u.
**VASP energy**: -17.4 eV per cell